No. 1
Computed, not measured: a geometry-optimized CaLa2PPb structure at the PBE level of DFT.

Unit cell a=5.6166 b=5.6166 c=5.3642 alpha=90.00 beta=90.00 gamma=90.00
With the nearest neighbours (Å) after each atom.
Sites, in units of the cell vectors:
1 Pb 0.5000 0.5000 0.5000  8 La 3.88, 4 Ca 3.97
2 P 0.0000 0.0000 0.0000  2 Ca 2.68, 4 La 2.81
3 Ca 0.0000 0.0000 0.5000  2 P 2.68
4 La 0.0000 0.5000 0.0000  2 P 2.81
5 La 0.5000 0.0000 0.0000  2 P 2.81

---

No. 2
Computed, not measured: a geometry-optimized CaLaP2Pd2 structure at the PBE level of DFT.

Unit cell a=4.1925 b=4.1925 c=8.1302 alpha=90.00 beta=90.00 gamma=120.00
With the nearest neighbours (Å) after each atom.
Sites, in units of the cell vectors:
1 Ca 0.0000 0.0000 0.5000  6 Pd 3.11, 6 P 3.18
2 La 0.0000 0.0000 0.0000  6 P 3.14, 6 Pd 3.21
3 P 0.6667 0.3333 0.7544  3 Pd 2.42
4 P 0.3333 0.6667 0.2456  3 Pd 2.42
5 Pd 0.6667 0.3333 0.2596  3 P 2.42
6 Pd 0.3333 0.6667 0.7404  3 P 2.42

---

No. 3
Computed, not measured: a geometry-optimized CaLaP2Pt2 structure at the PBE level of DFT.

Unit cell a=4.1587 b=4.1587 c=8.2982 alpha=90.00 beta=90.00 gamma=120.00
With the nearest neighbours (Å) after each atom.
Sites, in units of the cell vectors:
1 Ca 0.0000 0.0000 0.5000  6 Pt 3.13, 6 P 3.20
2 La 0.0000 0.0000 0.0000  6 P 3.15, 6 Pt 3.22
3 P 0.6667 0.3333 0.7545  3 Pt 2.40
4 P 0.3333 0.6667 0.2455  3 Pt 2.40
5 Pt 0.6667 0.3333 0.2578  3 P 2.40
6 Pt 0.3333 0.6667 0.7422  3 P 2.40

---

no.,calculated formation energy (eV/atom),uncorrected energy (eV per atom)
1,-0.7929,-4.988
2,-1.1765,-5.866
3,-1.2707,-6.242